# CePrAu2 (PBE-GGA, optimized geometry)
# Energy (eV per cell): -19.92
# Crystal system: tetragonal
# Theoretical density (g/cm3): 10.87
data_CePrAu2
_chemical_formula_sum 'Ce1 Pr1 Au2'
_cell_length_a 5.274
_cell_length_b 5.274
_cell_length_c 3.709
_cell_angle_alpha 90.00
_cell_angle_beta 90.00
_cell_angle_gamma 90.00
_symmetry_space_group_name_H-M 'P 4/m m m'
_symmetry_Int_Tables_number 123
_symmetry_space_group_name_Hall '-P 4 2'
loop_
_atom_site_label
_atom_site_type_symbol
_atom_site_fract_x
_atom_site_fract_y
_atom_site_fract_z
Ce1 Ce 0.000 0.000 0.000
Pr1 Pr 0.500 0.500 0.000
Au1 Au 0.000 0.500 0.500

=====

# CaTmOs4 (PBE-GGA, optimized geometry)
# Energy (eV per cell): -207.62
# Crystal system: cubic
# Theoretical density (g/cm3): 14.98
data_CaTmOs4
_chemical_formula_sum 'Ca4 Tm4 Os16'
_cell_length_a 7.549
_cell_length_b 7.549
_cell_length_c 7.549
_cell_angle_alpha 90.00
_cell_angle_beta 90.00
_cell_angle_gamma 90.00
_symmetry_space_group_name_H-M 'F -4 3 m'
_symmetry_Int_Tables_number 216
_symmetry_space_group_name_Hall 'F -4 2 3'
loop_
_atom_site_label
_atom_site_type_symbol
_atom_site_fract_x
_atom_site_fract_y
_atom_site_fract_z
Ca1 Ca 0.000 0.000 0.000
Tm1 Tm 0.250 0.250 0.750
Os1 Os 0.125 0.125 0.375

=====

# MoSeS2Cl5 (PBE-GGA, optimized geometry)
# Raw formation energy (eV per atom): -0.586
# Crystal system: monoclinic
# Theoretical density (g/cm3): 2.37
data_MoSeS2Cl5
_chemical_formula_sum 'Mo8 Se8 S16 Cl40'
_cell_length_a 18.093
_cell_length_b 9.687
_cell_length_c 15.229
_cell_angle_alpha 90.00
_cell_angle_beta 118.98
_cell_angle_gamma 90.00
_symmetry_space_group_name_H-M 'C 1 2/c 1'
_symmetry_Int_Tables_number 15
_symmetry_space_group_name_Hall '-C 2yc'
loop_
_atom_site_label
_atom_site_type_symbol
_atom_site_fract_x
_atom_site_fract_y
_atom_site_fract_z
Mo1 Mo 0.074 0.191 0.242
Se1 Se 0.153 0.425 0.239
S1 S 0.056 0.316 0.370
S2 S 0.063 0.109 0.386
Cl1 Cl 0.061 0.425 0.627
Cl2 Cl 0.106 0.049 0.736
Cl3 Cl 0.111 0.222 0.106
Cl4 Cl 0.182 0.442 0.873
Cl5 Cl 0.228 0.211 0.355

=====

Total moment across the listed records, respectively: 0.284; 0.000; 0.000 μB per atom.